Here is a geometry-optimized BaMnAl2 structure from the Alexandria database. Energies are from GGA-PBE.

Lattice parameters (Å, degrees): 7.644 7.644 7.644 154.97 148.44 40.70
Sites, in units of the cell vectors:
Mn 0.767 0.267 0.500
Al 0.277 0.777 0.500
Al 0.904 0.904 0.000
Ba 0.552 0.552 0.000

## Properties
Space-group type = Imm2, No. 44
Calculated volume = 99 Å³ per cell
Formation energy = 151.2 meV per atom